i.
This record from Alexandria describes a relaxed structure of TaBe3Mo. The functional is PBE.

Structure (CIF):
```
data_TaBe3Mo
_symmetry_space_group_name_H-M 'P 1'
_symmetry_Int_Tables_number 1
_symmetry_space_group_name_Hall 'P 1'
_cell_length_a 4.0951
_cell_length_b 4.0951
_cell_length_c 4.0951
_cell_angle_alpha 90.00
_cell_angle_beta 90.00
_cell_angle_gamma 90.00
loop_
_atom_site_label
_atom_site_fract_x
_atom_site_fract_y
_atom_site_fract_z
Mo1 0.0000 0.0000 0.0000
Be1 0.5000 0.0000 0.0000
Be2 0.0000 0.0000 0.5000
Be3 0.0000 0.5000 0.0000
Ta1 0.5000 0.5000 0.5000
```

Output
Spin magnetization, μB per formula unit: 0.00

***

ii.
This record from Alexandria describes a relaxed structure of TaBe3Mo. The functional is PBE.

Structure (CIF):
```
data_TaBe3Mo
_symmetry_space_group_name_H-M 'P 1'
_symmetry_Int_Tables_number 1
_symmetry_space_group_name_Hall 'P 1'
_cell_length_a 4.2480
_cell_length_b 4.2480
_cell_length_c 4.2480
_cell_angle_alpha 90.00
_cell_angle_beta 90.00
_cell_angle_gamma 90.00
loop_
_atom_site_label
_atom_site_fract_x
_atom_site_fract_y
_atom_site_fract_z
Ta1 0.0000 0.0000 0.0000
Be1 0.5000 0.0000 0.0000
Mo1 0.5000 0.5000 0.5000
Be2 0.0000 0.0000 0.5000
Be3 0.0000 0.5000 0.0000
```

Output
Spin magnetization, μB per formula unit: 1.13

***

Which structure wins on stability? i wins.